The following is a PBE-GGA calculation of crystalline La2Tm2Cd at its relaxed geometry, from Alexandria.

```
data_La2Tm2Cd
_cell_length_a 6.3673
_cell_length_b 6.3673
_cell_length_c 8.5937
_cell_angle_alpha 107.21
_cell_angle_beta 107.21
_cell_angle_gamma 95.23
_symmetry_space_group_name_H-M 'P 1'
_symmetry_Int_Tables_number 1
loop_
_symmetry_equiv_pos_as_xyz
'x,y,z'
loop_
_atom_site_label
_atom_site_type_symbol
_atom_site_fract_x
_atom_site_fract_y
_atom_site_fract_z
La1 La 0.1667 0.1667 0.4335
La2 La 0.2826 0.2826 0.8775
La3 La 0.7174 0.7174 0.1225
La4 La 0.8333 0.8333 0.5665
Tm1 Tm 0.2421 0.6073 0.2785
Tm2 Tm 0.3927 0.7579 0.7215
Tm3 Tm 0.6073 0.2421 0.2785
Tm4 Tm 0.7579 0.3927 0.7215
Cd1 Cd 0.1610 0.8390 0.0000
Cd2 Cd 0.8390 0.1610 0.0000
```

formation energy from the elements: -0.0443 eV per atom